Material: AcGaAg2
Method: DFT, PBE
State: optimized geometry

## Properties
The electronic total energy comes out at -13.17 eV for the cell shown. The formation energy is -82 meV per atom. The crystal system is tetragonal. The total moment is 0.00 μB/cell.

Cell lengths 4.508, 4.764, 4.764 Å; angles 90.00, 90.00, 90.00 degrees
Fractional coordinates of all 4 atoms:
Ac (0.500, 0.500, 0.500)
Ga (0.500, 0.000, 0.000)
Ag (0.000, 0.500, 0.000)
Ag (0.000, 0.000, 0.500)